Below is a relaxed structure of NpScMoO6, with properties calculated at the PBE with a Hubbard U level.

Cell: 4.9137 4.9137 9.8271 Å, 90.00 90.00 90.00°
With the nearest neighbours (Å) after each atom.
Atoms (fractional coordinates):
O: 0.6930 0.6930 0.6700  1 Np 2.09, 1 Sc 2.13, 1 Mo 2.15
O: 0.8029 0.1971 0.8322  1 Np 2.11, 1 Sc 2.11, 1 Mo 2.14
O: 0.6908 0.6908 0.9972  1 Np 2.09, 1 Sc 2.14, 1 Mo 2.15
O: 0.1971 0.8029 0.8322  1 Np 2.11, 1 Sc 2.11, 1 Mo 2.14
O: 0.8092 0.1908 0.4972  1 Np 2.09, 1 Sc 2.14, 1 Mo 2.15
O: 0.1908 0.8092 0.4972  1 Np 2.09, 1 Sc 2.14, 1 Mo 2.15
O: 0.3029 0.3029 0.3322  1 Np 2.11, 1 Sc 2.11, 1 Mo 2.14
O: 0.1930 0.8070 0.1700  1 Np 2.09, 1 Sc 2.13, 1 Mo 2.15
O: 0.3092 0.3092 0.9972  1 Np 2.09, 1 Sc 2.14, 1 Mo 2.15
O: 0.8070 0.1930 0.1700  1 Np 2.09, 1 Sc 2.13, 1 Mo 2.15
O: 0.6971 0.6971 0.3322  1 Np 2.11, 1 Sc 2.11, 1 Mo 2.14
O: 0.3070 0.3070 0.6700  1 Np 2.09, 1 Sc 2.13, 1 Mo 2.15
Np: 0.5000 0.5000 0.8333  6 O 2.09-2.11
Np: 0.0000 0.0000 0.3333  6 O 2.09-2.11
Sc: 0.5000 0.5000 0.1688  6 O 2.11-2.14
Sc: 0.0000 0.0000 0.6688  6 O 2.11-2.14
Mo: 0.0000 0.0000 0.9990  6 O 2.14-2.15
Mo: 0.5000 0.5000 0.4990  6 O 2.14-2.15

The value obtained for the final energy is -161.05 eV per cell. As for the crystal system: tetragonal. As for the volume: 119 Å³/f.u.